[1]
## Cl (PBEsol)

Data for an optimized crystal structure of Cl.

a = 5.5093 Å, b = 5.2918 Å, c = 8.3603 Å
α = 101.90°, β = 93.16°, γ = 97.32°
With the nearest neighbours (Å) after each atom.
Sites, in units of the cell vectors:
Cl: 0.6730 0.4914 0.7840  1 Cl 2.03
Cl: 0.8965 0.2229 0.7065  1 Cl 2.03
Cl: 0.3270 0.5086 0.2160  1 Cl 2.03
Cl: 0.1035 0.7771 0.2935  1 Cl 2.03
Cl: 0.7692 0.1620 0.3814  1 Cl 2.04
Cl: 0.3434 0.8599 0.8583  1 Cl 2.04
Cl: 0.6566 0.1401 0.1417  1 Cl 2.04
Cl: 0.2308 0.8380 0.6186  1 Cl 2.04

Energy above the most stable polymorph in this dataset: 0 meV per atom
ΔE_f (raw): 0.00 eV per atom
Space group: No. 2


[2]
## FeCo (PBEsol)

Data for an optimized crystal structure of FeCo.

a = 2.4253 Å, b = 2.4253 Å, c = 3.9289 Å
α = 90.00°, β = 90.00°, γ = 110.17°
With the nearest neighbours (Å) after each atom.
Sites, in units of the cell vectors:
Fe: 0.5000 0.5000 0.5000  4 Co 2.41, 4 Fe 2.43
Co: 0.0000 0.0000 0.0000  4 Fe 2.41, 4 Co 2.43

Space group: No. 65


[3]
## Li3Ta12O31 (PBEsol)

Data for an optimized crystal structure of Li3Ta12O31.

a = 3.8788 Å, b = 8.9766 Å, c = 16.8810 Å
α = 89.94°, β = 90.00°, γ = 90.00°
With the nearest neighbours (Å) after each atom.
Sites, in units of the cell vectors:
Ta: 0.0000 0.8115 0.0582  6 O 1.93-2.15
Ta: 0.0000 0.9519 0.7525  6 O 1.91-2.05
O: 0.0000 0.1773 0.1603  2 Ta 1.93-2.04, 2 Li 2.00
O: 0.5000 0.6845 0.2484  2 Ta 1.94
Ta: 0.0000 0.8133 0.4403  5 O 1.91-2.05
O: 0.0000 0.8689 0.1743  3 Ta 2.02-2.12
O: 0.5000 0.9451 0.7433  2 Ta 1.95, 1 Li 2.00
Ta: 0.0000 0.3141 0.7493  7 O 1.94-2.13
Ta: 0.0000 0.1856 0.5598  5 O 1.92-2.04
O: 0.0000 0.6616 0.9733  2 Ta 1.87-1.97
Ta: 0.0000 0.6789 0.2491  7 O 1.94-2.12
Ta: 0.0000 0.6023 0.6298  6 O 1.91-2.11
Ta: 0.0000 0.3975 0.1306  6 O 1.91-2.07
O: 0.0000 0.5477 0.7514  3 Ta 2.02-2.11
O: 0.5000 0.3740 0.1347  2 Ta 1.95, 1 Li 1.96
Ta: 0.0000 0.6001 0.8676  4 O 1.87-2.02
Ta: 0.0000 0.3977 0.3696  6 O 1.91-2.07
O: 0.5000 0.1765 0.9372  2 Ta 1.94
O: 0.5000 0.6206 0.6349  2 Ta 1.95, 1 Li 2.02
Li: 0.5000 0.1538 0.3651  4 O 1.97-2.13
O: 0.5000 0.1708 0.5637  2 Ta 1.95
O: 0.0000 0.4496 0.2498  3 Ta 2.06-2.07
Ta: 0.0000 0.1845 0.9422  5 O 1.91-2.05
O: 0.0000 0.6653 0.5216  2 Ta 1.91
O: 0.0000 0.1769 0.3389  2 Ta 1.93-2.05, 2 Li 2.00
Li: 0.5000 0.1554 0.1344  4 O 1.96-2.12
O: 0.0000 0.8007 0.8324  2 Ta 1.90-1.91
O: 0.0000 0.0027 0.0056  2 Ta 1.93-1.95
O: 0.0000 0.8182 0.6608  2 Ta 1.96-2.01, 2 Li 1.99
O: 0.0000 0.3333 0.4777  2 Ta 1.91-1.92
O: 0.0000 0.3342 0.0224  2 Ta 1.91
O: 0.5000 0.8120 0.0608  2 Ta 1.94
O: 0.5000 0.0604 0.2494  2 Ta 1.95, 2 Li 2.12-2.13
O: 0.0000 0.3848 0.8698  2 Ta 1.93-2.13
Ta: 0.0000 0.0430 0.2496  6 O 1.93-2.02
O: 0.0000 0.3840 0.6312  3 Ta 1.96-2.15
O: 0.0000 0.9985 0.4999  2 Ta 1.94-1.96
O: 0.5000 0.8273 0.4334  2 Ta 1.95
O: 0.0000 0.8674 0.3220  3 Ta 1.99-2.09
O: 0.0000 0.1299 0.6767  3 Ta 2.04-2.06
O: 0.0000 0.6133 0.1294  3 Ta 1.94-2.15
O: 0.5000 0.3735 0.3654  2 Ta 1.95, 1 Li 1.97
O: 0.0000 0.1271 0.8246  3 Ta 1.99-2.11
O: 0.0000 0.6138 0.3689  3 Ta 1.94-2.16
O: 0.5000 0.3166 0.7521  2 Ta 1.94
Li: 0.5000 0.8451 0.6378  4 O 1.99-2.02

ΔE_f (raw): -2.74 eV per atom
Space group: No. 6


Number 1: energy -2.008 eV per atom, volume 235.7 Å³/cell, D(E_F) 0.00 states/eV per atom. Number 2: energy -8.318 eV per atom, volume 21.7 Å³/cell, D(E_F) 0.83 states/eV per atom. Number 3: energy -9.682 eV per atom, volume 587.8 Å³/cell, D(E_F) 0.02 states/eV per atom.